# Rb5CuClO2 | Alexandria | PBE | optimized geometry
# Magnetization (μB/cell): 0.6
# Calculated total energy (eV/atom): -3.3434
# E_form (uncorrected) (meV/atom): -1044
# Volume (Å³ per cell): 301.58
data_Rb5CuClO2
_chemical_formula_sum 'Rb5 Cu1 Cl1 O2'
_space_group_name_H-M_alt 'P 4/m m m'
_space_group_IT_number 123
_space_group_name_Hall '-P 4 2'
_cell_length_a 5.734
_cell_length_b 5.734
_cell_length_c 9.173
_cell_angle_alpha 90.00
_cell_angle_beta 90.00
_cell_angle_gamma 90.00
loop_
_atom_site_label
_atom_site_fract_x
_atom_site_fract_y
_atom_site_fract_z
_atom_site_occupancy
Rb1 0.000 0.000 0.000 1
Rb2 0.000 0.500 0.286 1
Cu1 0.000 0.000 0.500 1
Cl1 0.500 0.500 0.000 1
O1 0.000 0.000 0.300 1

***

# Ba2Sr2C | Alexandria | PBE | optimized geometry
# Magnetization (μB/cell): 2.3
# E_form (eV/atom): 0.74
# Calculated total energy (eV/atom): -2.5500
# Volume (Å³ per cell): 440.52
data_Ba2Sr2C
_chemical_formula_sum 'Ba4 Sr4 C2'
_space_group_name_H-M_alt 'P 4/m b m'
_space_group_IT_number 127
_space_group_name_Hall '-P 4 2ab'
_cell_length_a 7.623
_cell_length_b 7.623
_cell_length_c 7.582
_cell_angle_alpha 90.00
_cell_angle_beta 90.00
_cell_angle_gamma 90.00
loop_
_atom_site_label
_atom_site_fract_x
_atom_site_fract_y
_atom_site_fract_z
_atom_site_occupancy
Ba1 0.180 0.320 0.000 1
Sr1 0.197 0.697 0.500 1
C1 0.000 0.000 0.500 1

***

magnetization of number 1 (Rb5CuClO2)? 0.6 μB/cell

***

Which of these has the highest calculated total energy? Ba2Sr2C